A plane-wave DFT calculation with PBE was carried out for an optimized crystal structure of CrIn2Os.

Lattice parameters (Å, degrees): 7.4115 7.4115 5.4769 90.00 90.00 90.00
Space group I-42d (No. 122)
One atom of each set of equivalent atoms:
Cr (0.0000, 0.0000, 0.0000) (multiplicity 4)
In (0.2493, 0.2500, 0.6250) (multiplicity 8)
Os (0.0000, 0.0000, 0.5000) (multiplicity 4)

Output
formation enthalpy at 0 K: 1.124 eV per atom
volume: 18.8 Å³/atom
crystal system: tetragonal
N(E_F): 24.700 states/eV per cell
VASP energy: -21.8 eV/f.u.



A plane-wave DFT calculation with PBE was carried out for an optimized crystal structure of AlCd4Ag7.

Lattice parameters (Å, degrees): 10.3226 4.9965 10.6422 90.00 117.61 90.00
Space group C2/m (No. 12)
One atom of each set of equivalent atoms:
Al (0.0000, 0.0000, 0.0000) (multiplicity 2)
Cd (0.0992, 0.5000, 0.7705) (multiplicity 4)
Cd (0.2309, 0.5000, 0.3076) (multiplicity 4)
Ag (0.0000, 0.5000, 0.0000) (multiplicity 2)
Ag (0.0417, 0.0000, 0.3729) (multiplicity 4)
Ag (0.1497, 0.5000, 0.5274) (multiplicity 4)
Ag (0.1998, 0.0000, 0.9224) (multiplicity 4)

Output
formation enthalpy at 0 K: 0.071 eV per atom
volume: 20.3 Å³/atom
crystal system: monoclinic
N(E_F): 5.463 states/eV per cell
VASP energy: -26.5 eV/f.u.



A plane-wave DFT calculation with PBE was carried out for an optimized crystal structure of Pm6Co3I2.

Lattice parameters (Å, degrees): 6.9299 12.0268 8.4985 90.00 105.98 90.00
Space group C2/m (No. 12)
One atom of each set of equivalent atoms:
Pm (0.2252, 0.1684, 0.1784) (multiplicity 8)
Pm (0.2294, 0.5000, 0.1757) (multiplicity 4)
Co (0.0000, 0.0000, 0.0000) (multiplicity 2)
Co (0.0000, 0.3311, 0.0000) (multiplicity 4)
I (0.0000, 0.1660, 0.5000) (multiplicity 4)

Output
raw formation energy: -0.39 eV/atom
volume: 31.0 Å³/atom
crystal system: monoclinic
N(E_F): 11.856 states/eV per cell
VASP energy: -57.2 eV/f.u.